# 1
An optimized crystal structure of Na2Al2Si3H4O12. Source: the Alexandria database, functional GGA-PBEsol.

Computed properties:
Raw total energy, eV/atom: -6.869
DOS(E_F), states/eV per atom: 0.00
Magnetization, Bohr magnetons per cell: 0.0

Structure (CIF):
```
data_Na2Al2Si3H4O12
_space_group_name_H-M_alt 'F d d 2'
_space_group_IT_number 43
_space_group_name_Hall 'F 2 -2d'
_cell_length_a 18.347
_cell_length_b 18.636
_cell_length_c 6.593
_cell_angle_alpha 90.00
_cell_angle_beta 90.00
_cell_angle_gamma 90.00
loop_
_atom_site_label
_atom_site_type_symbol
_atom_site_fract_x
_atom_site_fract_y
_atom_site_fract_z
Na1 Na 0.029 0.220 0.000
Al1 Al 0.037 0.405 0.251
Si1 Si 0.000 0.000 0.366
Si2 Si 0.098 0.039 0.993
H1 H 0.051 0.358 0.833
H2 H 0.103 0.312 0.686
O1 O 0.024 0.430 0.997
O2 O 0.045 0.098 0.888
O3 O 0.056 0.312 0.757
O4 O 0.068 0.317 0.256
O5 O 0.070 0.024 0.228
O6 O 0.098 0.464 0.367
```

=====

# 2
An optimized crystal structure of KMnO2F. Source: the Alexandria database, functional GGA-PBEsol.

Computed properties:
DOS(E_F), states/eV per atom: 0.74
Formation energy from raw total energies, eV/atom: -1.827
Magnetization, Bohr magnetons per cell: 3.0

Structure (CIF):
```
data_KMnO2F
_space_group_name_H-M_alt 'P 4/m m m'
_space_group_IT_number 123
_space_group_name_Hall '-P 4 2'
_cell_length_a 3.697
_cell_length_b 3.697
_cell_length_c 4.208
_cell_angle_alpha 90.00
_cell_angle_beta 90.00
_cell_angle_gamma 90.00
loop_
_atom_site_label
_atom_site_type_symbol
_atom_site_fract_x
_atom_site_fract_y
_atom_site_fract_z
K1 K 0.000 0.000 0.000
Mn1 Mn 0.500 0.500 0.500
O1 O 0.000 0.500 0.500
F1 F 0.500 0.500 0.000
```

=====

# 3
An optimized crystal structure of ZrZn2Mo. Source: the Alexandria database, functional GGA-PBEsol.

Computed properties:
DOS(E_F), states/eV per atom: 0.73
Distance to the lowest polymorph of the same formula, meV per atom: 0
Magnetization, Bohr magnetons per cell: 0.0

Structure (CIF):
```
data_ZrZn2Mo
_space_group_name_H-M_alt 'P 1 m 1'
_space_group_IT_number 6
_cell_length_a 2.825
_cell_length_b 4.469
_cell_length_c 5.043
_cell_angle_alpha 90.00
_cell_angle_beta 95.05
_cell_angle_gamma 90.00
loop_
_space_group_symop_operation_xyz
'x,y,z'
'x,-y,z'
loop_
_atom_site_label
_atom_site_type_symbol
_atom_site_fract_x
_atom_site_fract_y
_atom_site_fract_z
Zr1 Zr 0.000 0.000 0.000
Zn1 Zn 0.426 0.000 0.502
Zn2 Zn 0.428 0.500 0.789
Mo1 Mo 0.810 0.500 0.311
```

=====

# 4
An optimized crystal structure of CrHgRu. Source: the Alexandria database, functional GGA-PBEsol.

Computed properties:
Raw total energy, eV/atom: -6.595
DOS(E_F), states/eV per atom: 0.71
Magnetization, Bohr magnetons per cell: 0.0

Structure (CIF):
```
data_CrHgRu
_space_group_name_H-M_alt 'P 3 m 1'
_space_group_IT_number 156
_cell_length_a 2.7711
_cell_length_b 2.7711
_cell_length_c 6.7187
_cell_angle_alpha 90.00
_cell_angle_beta 90.00
_cell_angle_gamma 120.00
loop_
_space_group_symop_operation_xyz
'x,y,z'
'-y,x-y,z'
'-x+y,-x,z'
'-y,-x,z'
'-x+y,y,z'
'x,x-y,z'
loop_
_atom_site_label
_atom_site_type_symbol
_atom_site_fract_x
_atom_site_fract_y
_atom_site_fract_z
Cr1 Cr 0.0000 0.0000 0.0000
Hg1 Hg 0.6667 0.3333 0.6466
Ru1 Ru 0.3333 0.6667 0.2746
```

=====

# 5
An optimized crystal structure of LaCu4Pt. Source: the Alexandria database, functional GGA-PBEsol.

Computed properties:
Raw total energy, eV/atom: -5.237
DOS(E_F), states/eV per atom: 0.58
Magnetization, Bohr magnetons per cell: 0.0

Structure (CIF):
```
data_LaCu4Pt
_space_group_name_H-M_alt 'F -4 3 m'
_space_group_IT_number 216
_space_group_name_Hall 'F -4 2 3'
_cell_length_a 7.090
_cell_length_b 7.090
_cell_length_c 7.090
_cell_angle_alpha 90.00
_cell_angle_beta 90.00
_cell_angle_gamma 90.00
loop_
_atom_site_label
_atom_site_type_symbol
_atom_site_fract_x
_atom_site_fract_y
_atom_site_fract_z
La1 La 0.000 0.000 0.000
Cu1 Cu 0.123 0.123 0.377
Pt1 Pt 0.250 0.250 0.750
```

=====

# 6
An optimized crystal structure of SrIn2Si. Source: the Alexandria database, functional GGA-PBEsol.

Computed properties:
DOS(E_F), states/eV per atom: 0.62
Formation energy from raw total energies, eV/atom: -0.081
Magnetization, Bohr magnetons per cell: 0.0

Structure (CIF):
```
data_SrIn2Si
_space_group_name_H-M_alt 'I -4 m 2'
_space_group_IT_number 119
_space_group_name_Hall 'I -4 -2'
_cell_length_a 4.574
_cell_length_b 4.574
_cell_length_c 9.501
_cell_angle_alpha 90.00
_cell_angle_beta 90.00
_cell_angle_gamma 90.00
loop_
_atom_site_label
_atom_site_type_symbol
_atom_site_fract_x
_atom_site_fract_y
_atom_site_fract_z
Sr1 Sr 0.000 0.000 0.000
In1 In 0.000 0.000 0.500
In2 In 0.000 0.500 0.250
Si1 Si 0.000 0.500 0.750
```

=====

# 7
An optimized crystal structure of LiPd3. Source: the Alexandria database, functional GGA-PBEsol.

Computed properties:
Raw total energy, eV/atom: -5.199
DOS(E_F), states/eV per atom: 0.96
Magnetization, Bohr magnetons per cell: 0.0

Structure (CIF):
```
data_LiPd3
_space_group_name_H-M_alt 'P m -3 m'
_space_group_IT_number 221
_space_group_name_Hall '-P 4 2 3'
_cell_length_a 3.815
_cell_length_b 3.815
_cell_length_c 3.815
_cell_angle_alpha 90.00
_cell_angle_beta 90.00
_cell_angle_gamma 90.00
loop_
_atom_site_label
_atom_site_type_symbol
_atom_site_fract_x
_atom_site_fract_y
_atom_site_fract_z
Li1 Li 0.000 0.000 0.000
Pd1 Pd 0.000 0.500 0.500
```

=====

# 8
An optimized crystal structure of LiCa2Mg. Source: the Alexandria database, functional GGA-PBEsol.

Computed properties:
Raw total energy, eV/atom: -2.026
DOS(E_F), states/eV per atom: 0.93
Magnetization, Bohr magnetons per cell: 0.0

Structure (CIF):
```
data_LiCa2Mg
_space_group_name_H-M_alt 'P 4/m m m'
_space_group_IT_number 123
_space_group_name_Hall '-P 4 2'
_cell_length_a 3.932
_cell_length_b 3.932
_cell_length_c 7.855
_cell_angle_alpha 90.00
_cell_angle_beta 90.00
_cell_angle_gamma 90.00
loop_
_atom_site_label
_atom_site_type_symbol
_atom_site_fract_x
_atom_site_fract_y
_atom_site_fract_z
Li1 Li 0.000 0.000 0.000
Ca1 Ca 0.500 0.500 0.252
Mg1 Mg 0.000 0.000 0.500
```

=====

# 9
An optimized crystal structure of HgAs2. Source: the Alexandria database, functional GGA-PBEsol.

Computed properties:
Raw total energy, eV/atom: -3.290
DOS(E_F), states/eV per atom: 0.44
Magnetization, Bohr magnetons per cell: 0.0

Structure (CIF):
```
data_HgAs2
_space_group_name_H-M_alt 'P 4/m m m'
_space_group_IT_number 123
_space_group_name_Hall '-P 4 2'
_cell_length_a 3.928
_cell_length_b 3.928
_cell_length_c 4.373
_cell_angle_alpha 90.00
_cell_angle_beta 90.00
_cell_angle_gamma 90.00
loop_
_atom_site_label
_atom_site_type_symbol
_atom_site_fract_x
_atom_site_fract_y
_atom_site_fract_z
Hg1 Hg 0.000 0.000 0.000
As1 As 0.000 0.500 0.500
```

=====

# 10
An optimized crystal structure of ScCuBr2. Source: the Alexandria database, functional GGA-PBEsol.

Computed properties:
DOS(E_F), states/eV per atom: 0.69
Formation energy from raw total energies, eV/atom: -0.374
Distance to the lowest polymorph of the same formula, meV per atom: 300
Magnetization, Bohr magnetons per cell: 0.7

Structure (CIF):
```
data_ScCuBr2
_space_group_name_H-M_alt 'C 1 2/m 1'
_space_group_IT_number 12
_cell_length_a 6.555
_cell_length_b 8.374
_cell_length_c 3.500
_cell_angle_alpha 90.00
_cell_angle_beta 119.50
_cell_angle_gamma 90.00
loop_
_space_group_symop_operation_xyz
'x,y,z'
'-x,-y,-z'
'-x,y,-z'
'x,-y,z'
'x+1/2,y+1/2,z'
'-x+1/2,-y+1/2,-z'
'-x+1/2,y+1/2,-z'
'x+1/2,-y+1/2,z'
loop_
_atom_site_label
_atom_site_type_symbol
_atom_site_fract_x
_atom_site_fract_y
_atom_site_fract_z
Sc1 Sc 0.000 0.000 0.000
Cu1 Cu 0.000 0.500 0.000
Br1 Br 0.250 0.250 0.000
```

=====

# 11
An optimized crystal structure of Ag3BiRu. Source: the Alexandria database, functional GGA-PBEsol.

Computed properties:
Raw total energy, eV/atom: -3.640
DOS(E_F), states/eV per atom: 1.12
Magnetization, Bohr magnetons per cell: 1.6

Structure (CIF):
```
data_Ag3BiRu
_space_group_name_H-M_alt 'P m -3 m'
_space_group_IT_number 221
_space_group_name_Hall '-P 4 2 3'
_cell_length_a 4.896
_cell_length_b 4.896
_cell_length_c 4.896
_cell_angle_alpha 90.00
_cell_angle_beta 90.00
_cell_angle_gamma 90.00
loop_
_atom_site_label
_atom_site_type_symbol
_atom_site_fract_x
_atom_site_fract_y
_atom_site_fract_z
Ag1 Ag 0.000 0.000 0.500
Bi1 Bi 0.500 0.500 0.500
Ru1 Ru 0.000 0.000 0.000
```

=====

# 12
An optimized crystal structure of TeIrI2O. Source: the Alexandria database, functional GGA-PBEsol.

Computed properties:
DOS(E_F), states/eV per atom: 1.28
Formation energy from raw total energies, eV/atom: 1.104
Distance to the lowest polymorph of the same formula, meV per atom: 141
Magnetization, Bohr magnetons per cell: 0.0

Structure (CIF):
```
data_TeIrI2O
_space_group_name_H-M_alt 'P 4/m m m'
_space_group_IT_number 123
_space_group_name_Hall '-P 4 2'
_cell_length_a 4.978
_cell_length_b 4.978
_cell_length_c 4.345
_cell_angle_alpha 90.00
_cell_angle_beta 90.00
_cell_angle_gamma 90.00
loop_
_atom_site_label
_atom_site_type_symbol
_atom_site_fract_x
_atom_site_fract_y
_atom_site_fract_z
Te1 Te 0.000 0.000 0.000
Ir1 Ir 0.500 0.500 0.000
I1 I 0.000 0.500 0.500
O1 O 0.000 0.000 0.500
```